# 1
First-principles (PBE) data for NdSmIrO6 after structural relaxation, as listed in the Alexandria database.

Lattice parameters (Å, degrees): 5.6281 5.6281 9.8249 90.00 90.00 120.00
Space group P-31c (No. 163)
One atom of each set of equivalent atoms:
Nd 0.0000 0.0000 0.0000 (multiplicity 2)
Sm 0.3333 0.6667 0.2500 (multiplicity 2)
Ir 0.3333 0.6667 0.7500 (multiplicity 2)
O 0.0491 0.3765 0.6368 (multiplicity 12)

Values from the calculation:
DOS(E_F) (states/eV/cell): 7.0
Electronic total energy (eV per atom): -7.469


# 2
First-principles (PBE) data for SiHgSe3 after structural relaxation, as listed in the Alexandria database.

Lattice parameters (Å, degrees): 4.902 4.902 4.902 90.00 90.00 90.00
Space group Pm-3m (No. 221)
One atom of each set of equivalent atoms:
Si 0.000 0.000 0.000 (multiplicity 1)
Hg 0.500 0.500 0.500 (multiplicity 1)
Se 0.000 0.000 0.500 (multiplicity 3)

Values from the calculation:
DOS(E_F) (states/eV/cell): 5.1
Energy relative to the lowest polymorph listed for this composition (eV/atom): 0.607


# 3
First-principles (PBE) data for Gd2PuPt after structural relaxation, as listed in the Alexandria database.

Lattice parameters (Å, degrees): 3.571 3.571 8.305 90.00 90.00 90.00
Space group P4/mmm (No. 123)
One atom of each set of equivalent atoms:
Gd 0.000 0.000 0.202 (multiplicity 2)
Pu 0.500 0.500 0.500 (multiplicity 1)
Pt 0.500 0.500 0.000 (multiplicity 1)

Values from the calculation:
Formation energy from the elements (eV per atom): -0.50
DOS(E_F) (states/eV/cell): 6.5
Energy relative to the lowest polymorph listed for this composition (eV/atom): 0.000


# 4
First-principles (PBE) data for Th2BiP after structural relaxation, as listed in the Alexandria database.

Lattice parameters (Å, degrees): 4.2966 4.2966 22.0574 90.00 90.00 120.00
Space group R-3m (No. 166, hexagonal axes)
One atom of each set of equivalent atoms:
Th 0.0000 0.0000 0.2357 (multiplicity 6)
Bi 0.0000 0.0000 0.0000 (multiplicity 3)
P 0.0000 0.0000 0.5000 (multiplicity 3)

Values from the calculation:
Formation energy from the elements (eV per atom): -1.09
DOS(E_F) (states/eV/cell): 4.0


# 5
First-principles (PBE) data for InGeAsSe2 after structural relaxation, as listed in the Alexandria database.

Lattice parameters (Å, degrees): 5.082 5.082 5.017 90.00 90.00 90.00
Space group P4/mmm (No. 123)
One atom of each set of equivalent atoms:
In 0.000 0.000 0.000 (multiplicity 1)
Ge 0.500 0.500 0.500 (multiplicity 1)
As 0.500 0.500 0.000 (multiplicity 1)
Se 0.000 0.500 0.500 (multiplicity 2)

Values from the calculation:
DOS(E_F) (states/eV/cell): 4.6
Energy relative to the lowest polymorph listed for this composition (eV/atom): 0.000


# 6
First-principles (PBE) data for MnAsIr after structural relaxation, as listed in the Alexandria database.

Lattice parameters (Å, degrees): 11.741 2.838 6.314 90.00 119.17 90.00
Space group Cm (No. 8)
One atom of each set of equivalent atoms:
Mn 0.000 0.000 0.000 (multiplicity 2)
Mn 0.216 0.500 0.225 (multiplicity 2)
As 0.195 0.000 0.900 (multiplicity 2)
As 0.383 0.000 0.619 (multiplicity 2)
Ir 0.142 0.000 0.474 (multiplicity 2)
Ir 0.420 0.000 0.253 (multiplicity 2)

Values from the calculation:
Formation energy from the elements (eV per atom): -0.06
DOS(E_F) (states/eV/cell): 6.8


# 7
First-principles (PBE) data for ZnTeIr2 after structural relaxation, as listed in the Alexandria database.

Lattice parameters (Å, degrees): 4.245 4.245 3.636 90.00 90.00 90.00
Space group P4/mmm (No. 123)
One atom of each set of equivalent atoms:
Zn 0.000 0.000 0.000 (multiplicity 1)
Te 0.500 0.500 0.000 (multiplicity 1)
Ir 0.000 0.500 0.500 (multiplicity 2)

Values from the calculation:
DOS(E_F) (states/eV/cell): 2.0
Energy relative to the lowest polymorph listed for this composition (eV/atom): 0.029


# 8
First-principles (PBE) data for Ca2TlSe2O6 after structural relaxation, as listed in the Alexandria database.

Lattice parameters (Å, degrees): 11.811 5.864 6.507 90.00 115.10 90.00
Space group C2/m (No. 12)
One atom of each set of equivalent atoms:
Ca 0.158 0.000 0.316 (multiplicity 4)
Tl 0.000 0.500 0.000 (multiplicity 2)
Se 0.206 0.000 0.831 (multiplicity 4)
O 0.073 0.000 0.889 (multiplicity 4)
O 0.181 0.225 0.645 (multiplicity 8)

Values from the calculation:
DOS(E_F) (states/eV/cell): 2.0
Electronic total energy (eV per atom): -5.422